Entry 1:
{
  "formula": "CaBr2N2",
  "functional": "PBE-GGA",
  "state": "optimized geometry",
  "cell": [[3.7134, -2.1470, 0.0000], [3.7134, 2.1470, 0.0000], [-1.3503, 0.0000, 10.4497]],
  "species": ["Ca", "Br", "Br", "N", "N"],
  "fractional_positions": [[0.0000, 0.0000, 0.0000], [0.3606, 0.3606, 0.1492], [0.6394, 0.6394, 0.8508], [0.0481, 0.0481, 0.4636], [0.9519, 0.9519, 0.5364]],
  "sg": "C2/m, No. 12",
  "total_energy_ev_per_cell": -28.13
}



Entry 2:
{
  "formula": "CaBr2N",
  "functional": "PBE-GGA",
  "state": "optimized geometry",
  "cell": [[0.0000, 3.6379, 3.6379], [3.6379, 0.0000, 3.6379], [3.6379, 3.6379, 0.0000]],
  "species": ["Ca", "Br", "Br", "N"],
  "fractional_positions": [[0.0000, 0.0000, 0.0000], [0.2500, 0.2500, 0.2500], [0.7500, 0.7500, 0.7500], [0.5000, 0.5000, 0.5000]],
  "sg": "Fm-3m, No. 225",
  "total_energy_ev_per_cell": -14.24
}



Entry 3:
{
  "formula": "CaBr3N",
  "functional": "PBE-GGA",
  "state": "optimized geometry",
  "cell": [[5.7437, 0.0000, 0.0000], [0.0000, 5.7437, 0.0000], [0.0000, 0.0000, 5.7437]],
  "species": ["Ca", "Br", "Br", "Br", "N"],
  "fractional_positions": [[0.0000, 0.0000, 0.0000], [0.0000, 0.0000, 0.5000], [0.0000, 0.5000, 0.0000], [0.5000, 0.0000, 0.0000], [0.5000, 0.5000, 0.5000]],
  "sg": "Pm-3m, No. 221",
  "total_energy_ev_per_cell": -15.13
}



Entry 4:
{
  "formula": "CaBr2N",
  "functional": "PBE-GGA",
  "state": "optimized geometry",
  "cell": [[7.4507, 0.0000, 0.0000], [0.0000, 4.3046, 0.0000], [-2.7038, 0.0000, 8.6235]],
  "species": ["Ca", "Ca", "Br", "Br", "Br", "Br", "N", "N"],
  "fractional_positions": [[0.2502, 0.2500, 0.0003], [0.7498, 0.7500, 0.9997], [0.0182, 0.7500, 0.8200], [0.4824, 0.7500, 0.1803], [0.5176, 0.2500, 0.8197], [0.9818, 0.2500, 0.1800], [0.2480, 0.7500, 0.4994], [0.7520, 0.2500, 0.5006]],
  "sg": "P2_1/m, No. 11",
  "total_energy_ev_per_cell": -29.27
}



Entry 5:
{
  "formula": "CaBrN",
  "functional": "PBE-GGA",
  "state": "optimized geometry",
  "cell": [[3.8880, 0.0000, 0.0000], [-1.8183, 4.1857, 0.0000], [-0.4015, -1.6565, 10.0378]],
  "species": ["Ca", "Ca", "Br", "Br", "N", "N"],
  "fractional_positions": [[0.0094, 0.1875, 0.1730], [0.9906, 0.8125, 0.8270], [0.2602, 0.3507, 0.6851], [0.7398, 0.6493, 0.3149], [0.3955, 0.0340, 0.0381], [0.6045, 0.9660, 0.9619]],
  "sg": "P-1, No. 2",
  "total_energy_ev_per_cell": -31.22
}



Entry 6:
{
  "formula": "CaBrN2",
  "functional": "PBE-GGA",
  "state": "optimized geometry",
  "cell": [[1.9123, 1.1041, 6.0250], [-1.9123, 1.1041, 6.0250], [0.0000, -2.2081, 6.0250]],
  "species": ["Ca", "Br", "N", "N"],
  "fractional_positions": [[0.0000, 0.0000, 0.0000], [0.5000, 0.5000, 0.5000], [0.3936, 0.3936, 0.3936], [0.6064, 0.6064, 0.6064]],
  "sg": "R-3m, No. 166",
  "total_energy_ev_per_cell": -17.57
}



Entry 7:
{
  "formula": "Ca4Br2N",
  "functional": "PBE-GGA",
  "state": "optimized geometry",
  "cell": [[-2.5671, 2.5671, 7.1147], [2.5671, -2.5671, 7.1147], [2.5671, 2.5671, -7.1147]],
  "species": ["Ca", "Ca", "Ca", "Ca", "Br", "Br", "N"],
  "fractional_positions": [[0.0000, 0.5000, 0.5000], [0.1738, 0.1738, 0.0000], [0.5000, 0.0000, 0.5000], [0.8262, 0.8262, 0.0000], [0.3834, 0.3834, 0.0000], [0.6166, 0.6166, 0.0000], [0.0000, 0.0000, 0.0000]],
  "sg": "I4/mmm, No. 139",
  "total_energy_ev_per_cell": -26.24
}



Entry 8:
{
  "formula": "Ca2BrN",
  "functional": "PBE-GGA",
  "state": "optimized geometry",
  "cell": [[0.0000, 3.3725, 3.3725], [3.3725, 0.0000, 3.3725], [3.3725, 3.3725, 0.0000]],
  "species": ["Ca", "Ca", "Br", "N"],
  "fractional_positions": [[0.2500, 0.2500, 0.2500], [0.7500, 0.7500, 0.7500], [0.0000, 0.0000, 0.0000], [0.5000, 0.5000, 0.5000]],
  "sg": "Fm-3m, No. 225",
  "total_energy_ev_per_cell": -16.52
}



Entry 9:
{
  "formula": "Ca2BrN",
  "functional": "PBE-GGA",
  "state": "optimized geometry",
  "cell": [[1.8600, 1.0739, 6.9461], [-1.8600, 1.0739, 6.9461], [0.0000, -2.1477, 6.9461]],
  "species": ["Ca", "Ca", "Br", "N"],
  "fractional_positions": [[0.2255, 0.2255, 0.2255], [0.7745, 0.7745, 0.7745], [0.0000, 0.0000, 0.0000], [0.5000, 0.5000, 0.5000]],
  "sg": "R-3m, No. 166",
  "total_energy_ev_per_cell": -19.63
}



Entry 10:
{
  "formula": "Ca6BrN3",
  "functional": "PBE-GGA",
  "state": "optimized geometry",
  "cell": [[10.0324, 0.0000, 0.0000], [0.0000, 3.6174, 0.0000], [-4.0855, 0.0000, 12.4729]],
  "species": ["Ca", "Ca", "Ca", "Ca", "Ca", "Ca", "Ca", "Ca", "Ca", "Ca", "Ca", "Ca", "Br", "Br", "N", "N", "N", "N", "N", "N"],
  "fractional_positions": [[0.0029, 0.2500, 0.2517], [0.1190, 0.7500, 0.5739], [0.1872, 0.7500, 0.1074], [0.2707, 0.7500, 0.3701], [0.3599, 0.2500, 0.9507], [0.4666, 0.2500, 0.2130], [0.5334, 0.7500, 0.7870], [0.6401, 0.7500, 0.0493], [0.7293, 0.2500, 0.6299], [0.8128, 0.2500, 0.8926], [0.8810, 0.2500, 0.4261], [0.9971, 0.7500, 0.7483], [0.3847, 0.2500, 0.5800], [0.6153, 0.7500, 0.4200], [0.0263, 0.7500, 0.3846], [0.2384, 0.2500, 0.2437], [0.4175, 0.7500, 0.0853], [0.5825, 0.2500, 0.9147], [0.7616, 0.7500, 0.7563], [0.9737, 0.2500, 0.6154]],
  "sg": "P2_1/m, No. 11",
  "total_energy_ev_per_cell": -96.45
}



Entry 11:
{
  "formula": "Ca3Br2N",
  "functional": "PBE-GGA",
  "state": "optimized geometry",
  "cell": [[7.5535, -3.8800, 0.0000], [7.5535, 3.8800, 0.0000], [0.0000, 0.0000, 5.9134]],
  "species": ["Ca", "Ca", "Ca", "Ca", "Ca", "Ca", "Br", "Br", "Br", "Br", "N", "N"],
  "fractional_positions": [[0.1291, 0.8709, 0.5000], [0.2059, 0.5660, 0.0446], [0.4340, 0.7941, 0.0446], [0.5660, 0.2059, 0.5446], [0.7941, 0.4340, 0.5446], [0.8709, 0.1291, 0.0000], [0.1174, 0.5150, 0.5489], [0.4850, 0.8826, 0.5489], [0.5150, 0.1174, 0.0489], [0.8826, 0.4850, 0.0489], [0.1517, 0.8483, 0.1089], [0.8483, 0.1517, 0.6089]],
  "sg": "Cmc2_1, No. 36",
  "total_energy_ev_per_cell": -51.34
}



Entry 12:
{
  "formula": "CaBr2N2",
  "functional": "PBE-GGA",
  "state": "optimized geometry",
  "cell": [[7.0792, 0.0000, 0.0000], [0.0000, 7.0792, 0.0000], [0.0000, 0.0000, 3.8041]],
  "species": ["Ca", "Ca", "Br", "Br", "Br", "Br", "N", "N", "N", "N"],
  "fractional_positions": [[0.0000, 0.0000, 0.0000], [0.5000, 0.5000, 0.0000], [0.1729, 0.3271, 0.5000], [0.3271, 0.8271, 0.5000], [0.6729, 0.1729, 0.5000], [0.8271, 0.6729, 0.5000], [0.2382, 0.7382, 0.0000], [0.2618, 0.2382, 0.0000], [0.7382, 0.7618, 0.0000], [0.7618, 0.2618, 0.0000]],
  "sg": "P4/mbm, No. 127",
  "total_energy_ev_per_cell": -38.17
}



Entry 13:
{
  "formula": "Ca2BrN",
  "functional": "PBE-GGA",
  "state": "optimized geometry",
  "cell": [[1.8502, 1.0682, 7.0606], [-1.8502, 1.0682, 7.0606], [0.0000, -2.1365, 7.0606]],
  "species": ["Ca", "Ca", "Br", "N"],
  "fractional_positions": [[0.0000, 0.0000, 0.0000], [0.2167, 0.2167, 0.2167], [0.7774, 0.7774, 0.7774], [0.6084, 0.6084, 0.6084]],
  "sg": "R3m, No. 160",
  "total_energy_ev_per_cell": -19.51
}



Entry 14:
{
  "formula": "Ca3BrN",
  "functional": "PBE-GGA",
  "state": "optimized geometry",
  "cell": [[3.8932, 0.0000, 0.0000], [0.0000, 9.5864, 0.0000], [-1.9408, 0.0000, 7.4667]],
  "species": ["Ca", "Ca", "Ca", "Ca", "Ca", "Ca", "Br", "Br", "N", "N"],
  "fractional_positions": [[0.0357, 0.2500, 0.0719], [0.4001, 0.0415, 0.8001], [0.4001, 0.4585, 0.8001], [0.5999, 0.5415, 0.1999], [0.5999, 0.9585, 0.1999], [0.9643, 0.7500, 0.9281], [0.2382, 0.2500, 0.4861], [0.7618, 0.7500, 0.5139], [0.0000, 0.0000, 0.0000], [0.0000, 0.5000, 0.0000]],
  "sg": "P2_1/m, No. 11",
  "total_energy_ev_per_cell": -40.46
}



Entry 15:
{
  "formula": "CaBr2N2",
  "functional": "PBE-GGA",
  "state": "optimized geometry",
  "cell": [[-2.8099, 2.8099, 3.5084], [2.8099, -2.8099, 3.5084], [2.8099, 2.8099, -3.5084]],
  "species": ["Ca", "Br", "Br", "N", "N"],
  "fractional_positions": [[0.0000, 0.0000, 0.0000], [0.2500, 0.7500, 0.5000], [0.7500, 0.2500, 0.5000], [0.4204, 0.4204, 0.0000], [0.5796, 0.5796, 0.0000]],
  "sg": "I4/mmm, No. 139",
  "total_energy_ev_per_cell": -26.83
}



Entry 16:
{
  "formula": "Ca4BrN2",
  "functional": "PBE-GGA",
  "state": "optimized geometry",
  "cell": [[1.8364, 1.0603, 13.4089], [-1.8364, 1.0603, 13.4089], [0.0000, -2.1205, 13.4089]],
  "species": ["Ca", "Ca", "Ca", "Ca", "Br", "N", "N"],
  "fractional_positions": [[0.1177, 0.1177, 0.1177], [0.2771, 0.2771, 0.2771], [0.7229, 0.7229, 0.7229], [0.8823, 0.8823, 0.8823], [0.0000, 0.0000, 0.0000], [0.4202, 0.4202, 0.4202], [0.5798, 0.5798, 0.5798]],
  "sg": "R-3m, No. 166",
  "total_energy_ev_per_cell": -34.20
}



Entry 17:
{
  "formula": "CaBr3N",
  "functional": "PBE-GGA",
  "state": "optimized geometry",
  "cell": [[4.8256, 0.0000, 0.0000], [0.0000, 4.8256, 0.0000], [0.0000, 0.0000, 4.8256]],
  "species": ["Ca", "Br", "Br", "Br", "N"],
  "fractional_positions": [[0.0000, 0.0000, 0.0000], [0.0000, 0.5000, 0.5000], [0.5000, 0.0000, 0.5000], [0.5000, 0.5000, 0.0000], [0.5000, 0.5000, 0.5000]],
  "sg": "Pm-3m, No. 221",
  "total_energy_ev_per_cell": -15.64
}



Entry 18:
{
  "formula": "CaBr2N",
  "functional": "PBE-GGA",
  "state": "optimized geometry",
  "cell": [[-3.6673, 3.6673, 6.5483], [3.6673, -3.6673, 6.5483], [3.6673, 3.6673, -6.5483]],
  "species": ["Ca", "Ca", "Br", "Br", "Br", "Br", "N", "N"],
  "fractional_positions": [[0.0000, 0.0000, 0.0000], [0.7500, 0.2500, 0.5000], [0.0525, 0.6250, 0.9275], [0.3750, 0.3025, 0.4275], [0.6975, 0.1250, 0.0725], [0.8750, 0.9475, 0.5725], [0.2500, 0.7500, 0.5000], [0.5000, 0.5000, 0.0000]],
  "sg": "I-42d, No. 122",
  "total_energy_ev_per_cell": -28.23
}



Entry 19:
{
  "formula": "CaNd2Br2N2",
  "functional": "PBE-GGA",
  "state": "optimized geometry",
  "cell": [[-2.2189, 2.2189, 7.7211], [2.2189, -2.2189, 7.7211], [2.2189, 2.2189, -7.7211]],
  "species": ["Ca", "Nd", "Nd", "Br", "Br", "N", "N"],
  "fractional_positions": [[0.0000, 0.0000, 0.0000], [0.4029, 0.4029, 0.0000], [0.5971, 0.5971, 0.0000], [0.1926, 0.1926, 0.0000], [0.8074, 0.8074, 0.0000], [0.0000, 0.5000, 0.5000], [0.5000, 0.0000, 0.5000]],
  "sg": "I4/mmm, No. 139",
  "total_energy_ev_per_cell": -40.03
}



Entry 20:
{
  "formula": "CaBrNO2",
  "functional": "PBE-GGA",
  "state": "optimized geometry",
  "cell": [[4.1447, 0.0000, 0.0000], [0.0000, 4.1447, 0.0000], [0.0000, 0.0000, 3.7788]],
  "species": ["Ca", "Br", "N", "O", "O"],
  "fractional_positions": [[0.0000, 0.0000, 0.0000], [0.5000, 0.5000, 0.5000], [0.5000, 0.5000, 0.0000], [0.0000, 0.5000, 0.5000], [0.5000, 0.0000, 0.5000]],
  "sg": "P4/mmm, No. 123",
  "total_energy_ev_per_cell": -21.99
}



Ordered uncorrected formation energy results: -1227; -141; 43; -240; -1203; 689; -938; -630; -1406; -956; -1333; 583; -1376; -846; -967; -1124; -58; -110; -1214; -16; unit meV per atom.